Entry 1:
The following is a PBE-GGA calculation of an optimized crystal structure of BiP, from Alexandria.

Cell lengths 7.920, 7.920, 7.920 Å; angles 90.00, 90.00, 90.00 degrees
Positions (direct):
Bi 0.250 0.000 0.500
Bi 0.750 0.000 0.500
Bi 0.000 0.500 0.250
Bi 0.000 0.500 0.750
Bi 0.500 0.250 0.000
Bi 0.500 0.750 0.000
P 0.250 0.500 0.000
P 0.750 0.500 0.000
P 0.500 0.000 0.250
P 0.500 0.000 0.750
P 0.000 0.250 0.500
P 0.000 0.750 0.500

- Polymorph energy (0 for the lowest one): 315 meV/atom
- ΔH_f (0 K): 0.383 eV/atom

Entry 2:
The following is a PBE-GGA calculation of an optimized crystal structure of PmCu3Sb3, from Alexandria.

Cell lengths 7.064, 7.064, 7.064 Å; angles 90.00, 90.00, 90.00 degrees
Positions (direct):
Sb 0.250 0.000 0.500
Sb 0.000 0.500 0.250
Sb 0.500 0.750 0.000
Sb 0.750 0.000 0.500
Sb 0.000 0.500 0.750
Sb 0.500 0.250 0.000
Cu 0.000 0.250 0.500
Cu 0.000 0.750 0.500
Cu 0.500 0.000 0.750
Cu 0.750 0.500 0.000
Cu 0.500 0.000 0.250
Cu 0.250 0.500 0.000
Pm 0.500 0.500 0.500
Pm 0.000 0.000 0.000

- Formation energy from raw total energies: 0.06 eV/atom

Entry 3:
The following is a PBE-GGA calculation of an optimized crystal structure of NpTc2H, from Alexandria.

Cell lengths 2.899, 2.899, 7.499 Å; angles 78.85, 78.85, 60.00 degrees
Positions (direct):
Np 0.000 0.000 0.000
H 0.500 0.500 0.500
Tc 0.115 0.115 0.655
Tc 0.885 0.885 0.345

Entry 4:
The following is a PBE-GGA calculation of an optimized crystal structure of HfFeCo2, from Alexandria.

Cell lengths 3.698, 3.698, 8.893 Å; angles 78.00, 78.00, 90.00 degrees
Positions (direct):
Co 0.566 0.125 0.250
Co 0.184 0.625 0.250
Co 0.375 0.434 0.750
Co 0.875 0.816 0.750
Hf 0.000 0.000 0.000
Hf 0.750 0.250 0.500
Fe 0.500 0.500 0.000
Fe 0.250 0.750 0.500

- ΔH_f (0 K): 0.335 eV/atom

Entry 5:
The following is a PBE-GGA calculation of an optimized crystal structure of ZnCdReI2, from Alexandria.

Cell lengths 6.069, 5.166, 6.069 Å; angles 90.00, 90.00, 90.00 degrees
Positions (direct):
I 0.000 0.000 0.500
I 0.500 0.000 0.000
Re 0.500 0.500 0.500
Zn 0.000 0.500 0.000
Cd 0.000 0.000 0.000

- Formation energy from raw total energies: 1.31 eV/atom

Entry 6:
The following is a PBE-GGA calculation of an optimized crystal structure of MoIr2Ru, from Alexandria.

Cell lengths 4.735, 4.735, 4.738 Å; angles 131.42, 131.42, 71.17 degrees
Positions (direct):
Ru 0.251 0.750 0.500
Mo 0.500 0.500 0.000
Ir 0.000 0.000 0.000
Ir 0.750 0.250 0.500

- Polymorph energy (0 for the lowest one): 71 meV/atom
- ΔH_f (0 K): -0.177 eV/atom

Number 1: E -51.2 eV/cell. Number 2: E -58.0 eV/cell. Number 3: E -35.3 eV/cell. Number 4: E -62.6 eV/cell. Number 5: E -11.2 eV/cell. Number 6: E -38.5 eV/cell.